P) Computed, not measured: a relaxed structure of Mg6MnCdO8 at the GGA+U level of DFT.

a b c (Å): 4.3914 4.3914 8.7511
angles (deg): 90.00 90.00 90.00
Fractional positions:
Mg: 0.0000 0.0000 0.5000
Mg: 0.5000 0.5000 0.5000
Mg: 0.0000 0.5000 0.2587
Mg: 0.0000 0.5000 0.7413
Mg: 0.5000 0.0000 0.2587
Mg: 0.5000 0.0000 0.7413
Mn: 0.0000 0.0000 0.0000
Cd: 0.5000 0.5000 0.0000
O: 0.0000 0.0000 0.2581
O: 0.0000 0.0000 0.7419
O: 0.5000 0.5000 0.2671
O: 0.5000 0.5000 0.7329
O: 0.0000 0.5000 0.0000
O: 0.0000 0.5000 0.5000
O: 0.5000 0.0000 0.0000
O: 0.5000 0.0000 0.5000

Q) Computed, not measured: a relaxed structure of Mg6MnCdO8 at the GGA+U level of DFT.

a b c (Å): 4.3932 4.3932 8.7709
angles (deg): 90.00 90.00 90.00
Fractional positions:
Mg: 0.5000 0.5000 0.0000
Mg: 0.5000 0.5000 0.5000
Mg: 0.0000 0.5000 0.2464
Mg: 0.0000 0.5000 0.7536
Mg: 0.5000 0.0000 0.2464
Mg: 0.5000 0.0000 0.7536
Mn: 0.0000 0.0000 0.0000
Cd: 0.0000 0.0000 0.5000
O: 0.0000 0.0000 0.2404
O: 0.0000 0.0000 0.7596
O: 0.5000 0.5000 0.2499
O: 0.5000 0.5000 0.7501
O: 0.0000 0.5000 0.0000
O: 0.0000 0.5000 0.5000
O: 0.5000 0.0000 0.0000
O: 0.5000 0.0000 0.5000

Energies relative to the most stable structure, in meV/atom: P) 0; Q) 14.